# 1
First-principles (GGA-PBE) data for a relaxed Nd4Au2SCl crystal, as listed in the Alexandria database.

Computed properties:
Formation energy (no corrections) ... -1.21 eV/atom
Space group ... No. 10
Total magnetic moment ... 0.0 μB/f.u.

abc: 7.2489 4.1870 7.4673
angles: 90.00 108.92 90.00
Fractional coordinates of all 8 atoms:
Nd1 0.2378 0.0000 0.2375
Nd2 0.2415 0.5000 0.7550
Nd3 0.7585 0.5000 0.2450
Nd4 0.7622 0.0000 0.7625
Au1 0.0000 0.0000 0.5000
Au2 0.5000 0.5000 0.5000
S1 0.0000 0.5000 0.0000
Cl1 0.5000 0.0000 0.0000

---

# 2
First-principles (GGA-PBE) data for a relaxed HoErTm2S6 crystal, as listed in the Alexandria database.

Computed properties:
Formation energy (no corrections) ... -2.06 eV/atom
Space group ... No. 146
Total magnetic moment ... 0.0 μB/f.u.

abc: 7.2826 7.2826 7.2826
angles: 55.93 55.93 55.93
Fractional coordinates of all 10 atoms:
Ho1 0.0000 0.0000 0.0000
Er1 0.4994 0.4994 0.4994
Tm1 0.2999 0.2999 0.2999
Tm2 0.8003 0.8003 0.8003
S1 0.0954 0.6981 0.4037
S2 0.1999 0.5950 0.9019
S3 0.4037 0.0954 0.6981
S4 0.5950 0.9019 0.1999
S5 0.6981 0.4037 0.0954
S6 0.9019 0.1999 0.5950

---

# 3
First-principles (GGA-PBE) data for a relaxed NaSnHg2W crystal, as listed in the Alexandria database.

Computed properties:
VASP energy ... -2.241 eV per atom
Space group ... No. 123
Total magnetic moment ... 3.4 μB/f.u.

abc: 5.0804 5.0804 5.6070
angles: 90.00 90.00 90.00
Fractional coordinates of all 5 atoms:
Na1 0.0000 0.0000 0.0000
Sn1 0.0000 0.0000 0.5000
Hg1 0.0000 0.5000 0.0000
Hg2 0.5000 0.0000 0.0000
W1 0.5000 0.5000 0.5000

---

# 4
First-principles (GGA-PBE) data for a relaxed Pr2ScCd5 crystal, as listed in the Alexandria database.

Computed properties:
VASP energy ... -2.826 eV per atom
Space group ... No. 139
Total magnetic moment ... 0.2 μB/f.u.

abc: 8.5550 8.5550 8.5550
angles: 145.38 145.38 49.76
Fractional coordinates of all 8 atoms:
Pr1 0.2397 0.2397 0.0000
Pr2 0.7603 0.7603 0.0000
Sc1 0.5000 0.5000 0.0000
Cd1 0.0000 0.0000 0.0000
Cd2 0.1090 0.6090 0.5000
Cd3 0.3910 0.8910 0.5000
Cd4 0.6090 0.1090 0.5000
Cd5 0.8910 0.3910 0.5000

---

# 5
First-principles (GGA-PBE) data for a relaxed AcYTl6 crystal, as listed in the Alexandria database.

Computed properties:
VASP energy ... -3.377 eV per atom
Space group ... No. 123
Total magnetic moment ... 0.0 μB/f.u.

abc: 4.9018 4.9018 9.7568
angles: 90.00 90.00 90.00
Fractional coordinates of all 8 atoms:
Ac1 0.0000 0.0000 0.0000
Y1 0.0000 0.0000 0.5000
Tl1 0.0000 0.5000 0.2613
Tl2 0.0000 0.5000 0.7387
Tl3 0.5000 0.0000 0.2613
Tl4 0.5000 0.0000 0.7387
Tl5 0.5000 0.5000 0.0000
Tl6 0.5000 0.5000 0.5000

---

# 6
First-principles (GGA-PBE) data for a relaxed SrPm5Si2 crystal, as listed in the Alexandria database.

Computed properties:
Formation energy (no corrections) ... -0.23 eV/atom
Space group ... No. 71
Total magnetic moment ... 0.0 μB/f.u.

abc: 7.7596 7.7596 7.7596
angles: 145.30 105.27 85.10
Fractional coordinates of all 8 atoms:
Sr1 0.0000 0.0000 0.0000
Pm1 0.1512 0.3380 0.8132
Pm2 0.4752 0.6620 0.8132
Pm3 0.5000 0.0000 0.5000
Pm4 0.5248 0.3380 0.1868
Pm5 0.8488 0.6620 0.1868
Si1 0.2291 0.7291 0.5000
Si2 0.7709 0.2709 0.5000

---

# 7
First-principles (GGA-PBE) data for a relaxed ZrNbNi2 crystal, as listed in the Alexandria database.

Computed properties:
Space group ... No. 122
Total magnetic moment ... 0.0 μB/f.u.
Polymorph energy (0 for the lowest one) ... 0.339 eV per atom

abc: 5.6153 5.6153 5.6153
angles: 103.38 103.38 122.50
Fractional coordinates of all 8 atoms:
Zr1 0.0000 0.0000 0.0000
Zr2 0.7500 0.2500 0.5000
Nb1 0.2500 0.7500 0.5000
Nb2 0.5000 0.5000 0.0000
Ni1 0.1394 0.6250 0.0144
Ni2 0.3750 0.3894 0.5144
Ni3 0.6106 0.1250 0.9856
Ni4 0.8750 0.8606 0.4856

---

# 8
First-principles (GGA-PBE) data for a relaxed LiNd3Th4Se8 crystal, as listed in the Alexandria database.

Computed properties:
Formation energy (no corrections) ... -1.64 eV/atom
Space group ... No. 166
Total magnetic moment ... 0.0 μB/f.u.

abc: 8.4942 8.4942 8.4942
angles: 58.25 58.25 58.25
Fractional coordinates of all 16 atoms:
Li1 0.0000 0.0000 0.0000
Nd1 0.0000 0.5000 0.5000
Nd2 0.5000 0.0000 0.5000
Nd3 0.5000 0.5000 0.0000
Th1 0.0000 0.0000 0.5000
Th2 0.0000 0.5000 0.0000
Th3 0.5000 0.0000 0.0000
Th4 0.5000 0.5000 0.5000
Se1 0.2404 0.2404 0.7598
Se2 0.2404 0.7598 0.2404
Se3 0.2402 0.7596 0.7596
Se4 0.2504 0.2504 0.2504
Se5 0.7496 0.7496 0.7496
Se6 0.7598 0.2404 0.2404
Se7 0.7596 0.2402 0.7596
Se8 0.7596 0.7596 0.2402

---

# 9
First-principles (GGA-PBE) data for a relaxed Na3PrTl2O6 crystal, as listed in the Alexandria database.

Computed properties:
Formation energy (no corrections) ... -1.55 eV/atom
Space group ... No. 12
Total magnetic moment ... 0.0 μB/f.u.

abc: 5.9960 5.9960 6.0193
angles: 99.30 99.30 120.18
Fractional coordinates of all 12 atoms:
Na1 0.0000 0.0000 0.0000
Na2 0.3228 0.6772 0.0000
Na3 0.6772 0.3228 0.0000
Pr1 0.5000 0.5000 0.5000
Tl1 0.1660 0.8340 0.5000
Tl2 0.8340 0.1660 0.5000
O1 0.0827 0.4253 0.2741
O2 0.2321 0.2321 0.7292
O3 0.4253 0.0827 0.2741
O4 0.5747 0.9173 0.7259
O5 0.7679 0.7679 0.2708
O6 0.9173 0.5747 0.7259

---

# 10
First-principles (GGA-PBE) data for a relaxed Pm5Cd3In crystal, as listed in the Alexandria database.

Computed properties:
VASP energy ... -3.514 eV per atom
Space group ... No. 193
Total magnetic moment ... 0.0 μB/f.u.

abc: 9.4926 9.4926 6.7537
angles: 90.00 90.00 120.00
Fractional coordinates of all 18 atoms:
Pm1 0.0000 0.2986 0.2500
Pm2 0.0000 0.7014 0.7500
Pm3 0.2986 0.0000 0.2500
Pm4 0.2986 0.2986 0.7500
Pm5 0.3333 0.6667 0.0000
Pm6 0.3333 0.6667 0.5000
Pm7 0.6667 0.3333 0.0000
Pm8 0.6667 0.3333 0.5000
Pm9 0.7014 0.0000 0.7500
Pm10 0.7014 0.7014 0.2500
Cd1 0.0000 0.3635 0.7500
Cd2 0.0000 0.6365 0.2500
Cd3 0.3635 0.0000 0.7500
Cd4 0.3635 0.3635 0.2500
Cd5 0.6365 0.0000 0.2500
Cd6 0.6365 0.6365 0.7500
In1 0.0000 0.0000 0.0000
In2 0.0000 0.0000 0.5000

---

# 11
First-principles (GGA-PBE) data for a relaxed LiZnBi crystal, as listed in the Alexandria database.

Computed properties:
VASP energy ... -2.522 eV per atom
Space group ... No. 1
Total magnetic moment ... 0.0 μB/f.u.

abc: 3.3310 4.6100 9.3547
angles: 104.01 100.23 90.12
Fractional coordinates of all 6 atoms:
Li1 0.0000 0.0000 0.0000
Li2 0.1926 0.6861 0.3807
Zn1 0.5367 0.5356 0.0725
Zn2 0.9200 0.4215 0.8394
Bi1 0.6390 0.1349 0.2755
Bi2 0.8364 0.8361 0.6653

---

# 12
First-principles (GGA-PBE) data for a relaxed Sc4GeTe2S crystal, as listed in the Alexandria database.

Computed properties:
Formation energy (no corrections) ... -1.28 eV/atom
Space group ... No. 10
Total magnetic moment ... 0.0 μB/f.u.

abc: 6.8157 3.9469 7.0480
angles: 90.00 108.97 90.00
Fractional coordinates of all 8 atoms:
Sc1 0.2339 0.0000 0.2071
Sc2 0.2613 0.5000 0.7865
Sc3 0.7387 0.5000 0.2135
Sc4 0.7661 0.0000 0.7929
Ge1 0.5000 0.0000 0.0000
Te1 0.0000 0.0000 0.5000
Te2 0.5000 0.5000 0.5000
S1 0.0000 0.5000 0.0000

---

# 13
First-principles (GGA-PBE) data for a relaxed ScMoCl2 crystal, as listed in the Alexandria database.

Computed properties:
Formation energy (no corrections) ... -0.60 eV/atom
Space group ... No. 99
Total magnetic moment ... 0.0 μB/f.u.
Polymorph energy (0 for the lowest one) ... 0.212 eV per atom

abc: 3.1037 3.1037 8.7010
angles: 90.00 90.00 90.00
Fractional coordinates of all 4 atoms:
Sc1 0.0000 0.0000 0.0000
Mo1 0.5000 0.5000 0.7521
Cl1 0.0000 0.0000 0.6036
Cl2 0.5000 0.5000 0.1830

---

# 14
First-principles (GGA-PBE) data for a relaxed Ho2ZrRh4 crystal, as listed in the Alexandria database.

Computed properties:
VASP energy ... -7.290 eV per atom
Space group ... No. 139
Total magnetic moment ... 0.0 μB/f.u.

abc: 7.0889 7.0889 7.0889
angles: 141.29 141.29 55.89
Fractional coordinates of all 7 atoms:
Ho1 0.2305 0.2305 0.0000
Ho2 0.7695 0.7695 0.0000
Zr1 0.5000 0.5000 0.0000
Rh1 0.1164 0.6164 0.5000
Rh2 0.3836 0.8836 0.5000
Rh3 0.6164 0.1164 0.5000
Rh4 0.8836 0.3836 0.5000

---

# 15
First-principles (GGA-PBE) data for a relaxed LiDy2Tl4 crystal, as listed in the Alexandria database.

Computed properties:
Space group ... No. 139
Total magnetic moment ... 0.0 μB/f.u.
Polymorph energy (0 for the lowest one) ... 0.155 eV per atom

abc: 8.6630 8.6630 8.6630
angles: 147.13 147.13 47.17
Fractional coordinates of all 7 atoms:
Li1 0.0000 0.0000 0.0000
Dy1 0.3648 0.3648 0.0000
Dy2 0.6352 0.6352 0.0000
Tl1 0.0000 0.5000 0.5000
Tl2 0.1708 0.1708 0.0000
Tl3 0.5000 0.0000 0.5000
Tl4 0.8292 0.8292 0.0000

---

# 16
First-principles (GGA-PBE) data for a relaxed La5DyY2Th crystal, as listed in the Alexandria database.

Computed properties:
VASP energy ... -5.383 eV per atom
Space group ... No. 63
Total magnetic moment ... 0.0 μB/f.u.

abc: 11.2563 11.2563 10.7022
angles: 90.00 90.00 151.62
Fractional coordinates of all 18 atoms:
La1 0.0000 0.0000 0.0000
La2 0.0000 0.0000 0.5000
La3 0.1270 0.8730 0.7500
La4 0.2232 0.7768 0.0576
La5 0.2232 0.7768 0.4424
La6 0.4985 0.5015 0.2500
La7 0.5015 0.4985 0.7500
La8 0.7768 0.2232 0.5576
La9 0.7768 0.2232 0.9424
La10 0.8730 0.1270 0.2500
Dy1 0.1027 0.8973 0.2500
Dy2 0.8973 0.1027 0.7500
Y1 0.3880 0.6120 0.5070
Y2 0.3880 0.6120 0.9930
Y3 0.6120 0.3880 0.0070
Y4 0.6120 0.3880 0.4930
Th1 0.2868 0.7132 0.7500
Th2 0.7132 0.2868 0.2500

---

# 17
First-principles (GGA-PBE) data for a relaxed W2Se crystal, as listed in the Alexandria database.

Computed properties:
Formation energy (no corrections) ... 0.22 eV/atom
Space group ... No. 12
Total magnetic moment ... 0.0 μB/f.u.
Polymorph energy (0 for the lowest one) ... 0.166 eV per atom

abc: 5.6168 5.6168 5.9303
angles: 100.64 100.64 32.42
Fractional coordinates of all 6 atoms:
W1 0.0306 0.0306 0.3020
W2 0.3143 0.3143 0.3552
W3 0.6857 0.6857 0.6448
W4 0.9694 0.9694 0.6980
Se1 0.3527 0.3527 0.9253
Se2 0.6473 0.6473 0.0747

---

# 18
First-principles (GGA-PBE) data for a relaxed Ce2HoPd9 crystal, as listed in the Alexandria database.

Computed properties:
VASP energy ... -6.130 eV per atom
Space group ... No. 123
Total magnetic moment ... 0.7 μB/f.u.

abc: 4.1396 4.1396 12.4106
angles: 90.00 90.00 90.00
Fractional coordinates of all 12 atoms:
Ce1 0.0000 0.0000 0.1695
Ce2 0.0000 0.0000 0.8305
Ho1 0.0000 0.0000 0.5000
Pd1 0.0000 0.5000 0.0000
Pd2 0.0000 0.5000 0.3334
Pd3 0.0000 0.5000 0.6666
Pd4 0.5000 0.0000 0.0000
Pd5 0.5000 0.0000 0.3334
Pd6 0.5000 0.0000 0.6666
Pd7 0.5000 0.5000 0.1671
Pd8 0.5000 0.5000 0.5000
Pd9 0.5000 0.5000 0.8329

---

# 19
First-principles (GGA-PBE) data for a relaxed KBe2Cu crystal, as listed in the Alexandria database.

Computed properties:
Space group ... No. 44
Total magnetic moment ... 0.0 μB/f.u.
Polymorph energy (0 for the lowest one) ... 0.545 eV per atom

abc: 5.6556 5.6556 5.6556
angles: 153.14 122.49 64.58
Fractional coordinates of all 4 atoms:
K1 0.0000 0.0000 0.0000
Be1 0.3134 0.8134 0.5000
Be2 0.4962 0.4962 0.0000
Cu1 0.6840 0.1840 0.5000

---

# 20
First-principles (GGA-PBE) data for a relaxed ErLuGa crystal, as listed in the Alexandria database.

Computed properties:
Space group ... No. 216
Total magnetic moment ... 0.0 μB/f.u.
Polymorph energy (0 for the lowest one) ... 0.133 eV per atom

abc: 4.8883 4.8883 4.8883
angles: 60.00 60.00 60.00
Fractional coordinates of all 3 atoms:
Er1 0.0000 0.0000 0.0000
Lu1 0.5000 0.5000 0.5000
Ga1 0.2500 0.2500 0.2500